DFT (PBE-GGA) results for a relaxed Pa2SiW crystal.

Lattice parameters (Å, degrees): 3.035 3.035 10.576 81.75 81.75 60.00
Positions (direct):
Si (0.500, 0.500, 0.500)
Pa (0.089, 0.089, 0.734)
Pa (0.911, 0.911, 0.266)
W (0.000, 0.000, 0.000)

Summary:
Energy above the most stable polymorph in this dataset ... 561 meV per atom
Formation energy (no corrections) ... 461 meV/atom
Mass density ... 13.5 g/cm³
Total magnetic moment ... 0.00 μB per formula unit
SG ... R-3m (166)